<A>
# ReTc, relaxed, DFT GGA-PBEsol
# - SG = P-6m2 (187)
# - total magnetic moment (μB/cell) = 0.00
# - DOS at the Fermi energy (states/eV/cell) = 1.69
data_ReTc
_chemical_formula_sum 'Re1 Tc1'
_space_group_name_H-M_alt 'P 1'
_space_group_IT_number 1
_space_group_name_Hall 'P 1'
_cell_length_a 2.736
_cell_length_b 2.736
_cell_length_c 4.413
_cell_angle_alpha 90.00
_cell_angle_beta 90.00
_cell_angle_gamma 120.00
loop_
_atom_site_label
_atom_site_type_symbol
_atom_site_fract_x
_atom_site_fract_y
_atom_site_fract_z
Re1 Re 0.000 0.000 0.000
Tc1 Tc 0.667 0.333 0.500

=====

<B>
# ReTc, relaxed, DFT GGA-PBEsol
# - SG = P4/nmm (129)
# - total magnetic moment (μB/cell) = 0.00
# - DOS at the Fermi energy (states/eV/cell) = 3.79
data_ReTc
_chemical_formula_sum 'Re2 Tc2'
_space_group_name_H-M_alt 'P 1'
_space_group_IT_number 1
_space_group_name_Hall 'P 1'
_cell_length_a 2.726
_cell_length_b 2.726
_cell_length_c 7.720
_cell_angle_alpha 90.00
_cell_angle_beta 90.00
_cell_angle_gamma 90.00
loop_
_atom_site_label
_atom_site_type_symbol
_atom_site_fract_x
_atom_site_fract_y
_atom_site_fract_z
Re1 Re 0.500 0.000 0.127
Re2 Re 0.000 0.500 0.873
Tc1 Tc 0.500 0.000 0.624
Tc2 Tc 0.000 0.500 0.376

=====

Stability verdict: <A>, ahead by 77 meV/atom

=====

<A>
# Cd2AgAu, relaxed, DFT GGA-PBEsol
# - SG = Pmm2 (25)
# - total magnetic moment (μB/cell) = 0.00
# - DOS at the Fermi energy (states/eV/cell) = 1.19
data_Cd2AgAu
_chemical_formula_sum 'Cd2 Ag1 Au1'
_space_group_name_H-M_alt 'P 1'
_space_group_IT_number 1
_space_group_name_Hall 'P 1'
_cell_length_a 2.944
_cell_length_b 4.185
_cell_length_c 5.895
_cell_angle_alpha 90.00
_cell_angle_beta 90.00
_cell_angle_gamma 90.00
loop_
_atom_site_label
_atom_site_type_symbol
_atom_site_fract_x
_atom_site_fract_y
_atom_site_fract_z
Au1 Au 0.500 0.500 0.751
Ag1 Ag 0.000 0.000 0.498
Cd1 Cd 0.000 0.000 0.987
Cd2 Cd 0.500 0.500 0.264

=====

<B>
# Cd2AgAu, relaxed, DFT GGA-PBEsol
# - SG = P4/mmm (123)
# - total magnetic moment (μB/cell) = 0.00
# - DOS at the Fermi energy (states/eV/cell) = 1.05
data_Cd2AgAu
_chemical_formula_sum 'Cd2 Ag1 Au1'
_space_group_name_H-M_alt 'P 1'
_space_group_IT_number 1
_space_group_name_Hall 'P 1'
_cell_length_a 3.143
_cell_length_b 3.143
_cell_length_c 7.333
_cell_angle_alpha 90.00
_cell_angle_beta 90.00
_cell_angle_gamma 90.00
loop_
_atom_site_label
_atom_site_type_symbol
_atom_site_fract_x
_atom_site_fract_y
_atom_site_fract_z
Au1 Au 0.500 0.500 0.500
Ag1 Ag 0.500 0.500 0.000
Cd1 Cd 0.000 0.000 0.749
Cd2 Cd 0.000 0.000 0.251

=====

Stability verdict: <B>, ahead by 29 meV/atom